Record 1
# PtCI2 | Alexandria | GGA-PBE | relaxed
# Relative energy among the computed polymorphs   0 meV per atom
# Symmetry   I-42d (122)
# Electronic total energy   -12.51 eV/f.u.
data_PtCI2
_chemical_formula_sum 'Pt2 C2 I4'
_symmetry_space_group_name_H-M 'P 1'
_symmetry_Int_Tables_number 1
_cell_length_a 5.7114
_cell_length_b 5.7114
_cell_length_c 7.5096
_cell_angle_alpha 67.65
_cell_angle_beta 67.65
_cell_angle_gamma 90.00
loop_
_symmetry_equiv_pos_as_xyz
'x,y,z'
loop_
_atom_site_label
_atom_site_type_symbol
_atom_site_fract_x
_atom_site_fract_y
_atom_site_fract_z
I1 I 0.8750 0.8439 0.7500
C1 C 0.2500 0.7500 0.5000
Pt1 Pt 0.7500 0.2500 0.5000
Pt2 Pt 0.0000 0.0000 0.0000
I2 I 0.3750 0.4061 0.7500
C2 C 0.5000 0.5000 0.0000
I3 I 0.5939 0.1250 0.2500
I4 I 0.1561 0.6250 0.2500

***

Record 2
# Pt3CI | Alexandria | GGA-PBE | relaxed
# Relative energy among the computed polymorphs   1725 meV per atom
# Symmetry   Pm-3m (221)
# Electronic total energy   -16.34 eV/f.u.
data_Pt3CI
_chemical_formula_sum 'Pt3 C1 I1'
_symmetry_space_group_name_H-M 'P 1'
_symmetry_Int_Tables_number 1
_cell_length_a 4.9882
_cell_length_b 4.9882
_cell_length_c 4.9882
_cell_angle_alpha 90.00
_cell_angle_beta 90.00
_cell_angle_gamma 90.00
loop_
_symmetry_equiv_pos_as_xyz
'x,y,z'
loop_
_atom_site_label
_atom_site_type_symbol
_atom_site_fract_x
_atom_site_fract_y
_atom_site_fract_z
Pt1 Pt 0.5000 0.0000 0.0000
I1 I 0.0000 0.0000 0.0000
Pt2 Pt 0.0000 0.5000 0.0000
C1 C 0.5000 0.5000 0.5000
Pt3 Pt 0.0000 0.0000 0.5000

***

Record 3
# PtCI2 | Alexandria | GGA-PBE | relaxed
# Relative energy among the computed polymorphs   507 meV per atom
# Symmetry   Fm-3m (225)
# Electronic total energy   -10.48 eV/f.u.
data_PtCI2
_chemical_formula_sum 'Pt1 C1 I2'
_symmetry_space_group_name_H-M 'P 1'
_symmetry_Int_Tables_number 1
_cell_length_a 4.8787
_cell_length_b 4.8787
_cell_length_c 4.8787
_cell_angle_alpha 60.00
_cell_angle_beta 60.00
_cell_angle_gamma 60.00
loop_
_symmetry_equiv_pos_as_xyz
'x,y,z'
loop_
_atom_site_label
_atom_site_type_symbol
_atom_site_fract_x
_atom_site_fract_y
_atom_site_fract_z
I1 I 0.2500 0.2500 0.2500
Pt1 Pt 0.5000 0.5000 0.5000
C1 C 0.0000 0.0000 0.0000
I2 I 0.7500 0.7500 0.7500

***

Record 4
# PtC3I | Alexandria | GGA-PBE | relaxed
# Relative energy among the computed polymorphs   0 meV per atom
# Symmetry   Pm-3m (221)
# Electronic total energy   -22.68 eV/f.u.
data_PtC3I
_chemical_formula_sum 'Pt1 C3 I1'
_symmetry_space_group_name_H-M 'P 1'
_symmetry_Int_Tables_number 1
_cell_length_a 4.1494
_cell_length_b 4.1494
_cell_length_c 4.1494
_cell_angle_alpha 90.00
_cell_angle_beta 90.00
_cell_angle_gamma 90.00
loop_
_symmetry_equiv_pos_as_xyz
'x,y,z'
loop_
_atom_site_label
_atom_site_type_symbol
_atom_site_fract_x
_atom_site_fract_y
_atom_site_fract_z
Pt1 Pt 0.0000 0.0000 0.0000
C1 C 0.0000 0.5000 0.0000
C2 C 0.5000 0.0000 0.0000
C3 C 0.0000 0.0000 0.5000
I1 I 0.5000 0.5000 0.5000

***

Record 5
# PtC3I | Alexandria | GGA-PBE | relaxed
# Relative energy among the computed polymorphs   1009 meV per atom
# Symmetry   Pm-3m (221)
# Electronic total energy   -17.64 eV/f.u.
data_PtC3I
_chemical_formula_sum 'Pt1 C3 I1'
_symmetry_space_group_name_H-M 'P 1'
_symmetry_Int_Tables_number 1
_cell_length_a 4.0886
_cell_length_b 4.0886
_cell_length_c 4.0886
_cell_angle_alpha 90.00
_cell_angle_beta 90.00
_cell_angle_gamma 90.00
loop_
_symmetry_equiv_pos_as_xyz
'x,y,z'
loop_
_atom_site_label
_atom_site_type_symbol
_atom_site_fract_x
_atom_site_fract_y
_atom_site_fract_z
I1 I 0.0000 0.0000 0.0000
C1 C 0.0000 0.5000 0.0000
C2 C 0.0000 0.0000 0.5000
Pt1 Pt 0.5000 0.5000 0.5000
C3 C 0.5000 0.0000 0.0000

***

Record 6
# PtC2I | Alexandria | GGA-PBE | relaxed
# Relative energy among the computed polymorphs   1017 meV per atom
# Symmetry   Fm-3m (225)
# Electronic total energy   -15.18 eV/f.u.
data_PtC2I
_chemical_formula_sum 'Pt1 C2 I1'
_symmetry_space_group_name_H-M 'P 1'
_symmetry_Int_Tables_number 1
_cell_length_a 4.2431
_cell_length_b 4.2431
_cell_length_c 4.2431
_cell_angle_alpha 60.00
_cell_angle_beta 60.00
_cell_angle_gamma 60.00
loop_
_symmetry_equiv_pos_as_xyz
'x,y,z'
loop_
_atom_site_label
_atom_site_type_symbol
_atom_site_fract_x
_atom_site_fract_y
_atom_site_fract_z
C1 C 0.7500 0.7500 0.7500
I1 I 0.0000 0.0000 0.0000
C2 C 0.2500 0.2500 0.2500
Pt1 Pt 0.5000 0.5000 0.5000

***

Record 7
# Pt3CI | Alexandria | GGA-PBE | relaxed
# Relative energy among the computed polymorphs   0 meV per atom
# Symmetry   Pm-3m (221)
# Electronic total energy   -24.97 eV/f.u.
data_Pt3CI
_chemical_formula_sum 'Pt3 C1 I1'
_symmetry_space_group_name_H-M 'P 1'
_symmetry_Int_Tables_number 1
_cell_length_a 4.3448
_cell_length_b 4.3448
_cell_length_c 4.3448
_cell_angle_alpha 90.00
_cell_angle_beta 90.00
_cell_angle_gamma 90.00
loop_
_symmetry_equiv_pos_as_xyz
'x,y,z'
loop_
_atom_site_label
_atom_site_type_symbol
_atom_site_fract_x
_atom_site_fract_y
_atom_site_fract_z
Pt1 Pt 0.5000 0.0000 0.0000
Pt2 Pt 0.0000 0.0000 0.5000
C1 C 0.0000 0.0000 0.0000
Pt3 Pt 0.0000 0.5000 0.0000
I1 I 0.5000 0.5000 0.5000

***

Record 8
# SbPtCI2 | Alexandria | GGA-PBE | relaxed
# Relative energy among the computed polymorphs   0 meV per atom
# Symmetry   P4/mmm (123)
# Electronic total energy   -15.26 eV/f.u.
data_SbPtCI2
_chemical_formula_sum 'Sb1 Pt1 C1 I2'
_symmetry_space_group_name_H-M 'P 1'
_symmetry_Int_Tables_number 1
_cell_length_a 4.9463
_cell_length_b 4.9463
_cell_length_c 4.6655
_cell_angle_alpha 90.00
_cell_angle_beta 90.00
_cell_angle_gamma 90.00
loop_
_symmetry_equiv_pos_as_xyz
'x,y,z'
loop_
_atom_site_label
_atom_site_type_symbol
_atom_site_fract_x
_atom_site_fract_y
_atom_site_fract_z
I1 I 0.0000 0.5000 0.0000
C1 C 0.0000 0.0000 0.0000
Sb1 Sb 0.0000 0.0000 0.5000
Pt1 Pt 0.5000 0.5000 0.5000
I2 I 0.5000 0.0000 0.0000

***

Record 9
# SbPtCI2 | Alexandria | GGA-PBE | relaxed
# Relative energy among the computed polymorphs   144 meV per atom
# Symmetry   P4/mmm (123)
# Electronic total energy   -14.53 eV/f.u.
data_SbPtCI2
_chemical_formula_sum 'Sb1 Pt1 C1 I2'
_symmetry_space_group_name_H-M 'P 1'
_symmetry_Int_Tables_number 1
_cell_length_a 5.6321
_cell_length_b 5.6321
_cell_length_c 5.1018
_cell_angle_alpha 90.00
_cell_angle_beta 90.00
_cell_angle_gamma 90.00
loop_
_symmetry_equiv_pos_as_xyz
'x,y,z'
loop_
_atom_site_label
_atom_site_type_symbol
_atom_site_fract_x
_atom_site_fract_y
_atom_site_fract_z
Pt1 Pt 0.0000 0.0000 0.0000
C1 C 0.5000 0.5000 0.5000
I1 I 0.5000 0.0000 0.0000
I2 I 0.0000 0.5000 0.0000
Sb1 Sb 0.0000 0.0000 0.5000

***

Record 10
# Sb2PtCI | Alexandria | GGA-PBE | relaxed
# Relative energy among the computed polymorphs   0 meV per atom
# Symmetry   P4/mmm (123)
# Electronic total energy   -19.12 eV/f.u.
data_Sb2PtCI
_chemical_formula_sum 'Sb2 Pt1 C1 I1'
_symmetry_space_group_name_H-M 'P 1'
_symmetry_Int_Tables_number 1
_cell_length_a 4.6954
_cell_length_b 4.6954
_cell_length_c 4.8300
_cell_angle_alpha 90.00
_cell_angle_beta 90.00
_cell_angle_gamma 90.00
loop_
_symmetry_equiv_pos_as_xyz
'x,y,z'
loop_
_atom_site_label
_atom_site_type_symbol
_atom_site_fract_x
_atom_site_fract_y
_atom_site_fract_z
C1 C 0.0000 0.0000 0.0000
Sb1 Sb 0.0000 0.5000 0.0000
Sb2 Sb 0.5000 0.0000 0.0000
Pt1 Pt 0.5000 0.5000 0.5000
I1 I 0.0000 0.0000 0.5000

***

Record 11
# Sb2PtCI | Alexandria | GGA-PBE | relaxed
# Relative energy among the computed polymorphs   478 meV per atom
# Symmetry   P4/mmm (123)
# Electronic total energy   -16.73 eV/f.u.
data_Sb2PtCI
_chemical_formula_sum 'Sb2 Pt1 C1 I1'
_symmetry_space_group_name_H-M 'P 1'
_symmetry_Int_Tables_number 1
_cell_length_a 5.2386
_cell_length_b 5.2386
_cell_length_c 5.5928
_cell_angle_alpha 90.00
_cell_angle_beta 90.00
_cell_angle_gamma 90.00
loop_
_symmetry_equiv_pos_as_xyz
'x,y,z'
loop_
_atom_site_label
_atom_site_type_symbol
_atom_site_fract_x
_atom_site_fract_y
_atom_site_fract_z
I1 I 0.0000 0.0000 0.5000
C1 C 0.5000 0.5000 0.5000
Sb1 Sb 0.0000 0.5000 0.0000
Sb2 Sb 0.5000 0.0000 0.0000
Pt1 Pt 0.0000 0.0000 0.0000

***

Record 12
# Sm8Pt3CI4 | Alexandria | GGA-PBE | relaxed
# Symmetry   R-3m (166)
# Electronic total energy   -86.69 eV/f.u.
data_Sm8Pt3CI4
_chemical_formula_sum 'Sm8 Pt3 C1 I4'
_symmetry_space_group_name_H-M 'P 1'
_symmetry_Int_Tables_number 1
_cell_length_a 8.3468
_cell_length_b 9.2530
_cell_length_c 8.3446
_cell_angle_alpha 116.79
_cell_angle_beta 120.01
_cell_angle_gamma 90.00
loop_
_symmetry_equiv_pos_as_xyz
'x,y,z'
loop_
_atom_site_label
_atom_site_type_symbol
_atom_site_fract_x
_atom_site_fract_y
_atom_site_fract_z
Pt1 Pt 0.0000 0.5000 0.5000
I1 I 0.5000 0.0000 0.0000
Sm1 Sm 0.7288 0.6862 0.4576
C1 C 0.0000 0.5000 0.0000
Sm2 Sm 0.2517 0.3235 0.0375
I2 I 0.0000 0.0000 0.5000
Pt2 Pt 0.5000 0.5000 0.0000
Sm3 Sm 0.2142 0.6765 0.9625
Sm4 Sm 0.7483 0.6765 0.9625
Pt3 Pt 0.5000 0.5000 0.5000
I3 I 0.0000 0.0000 0.0000
Sm5 Sm 0.7857 0.3235 0.5714
Sm6 Sm 0.7858 0.3235 0.0375
I4 I 0.5000 0.0000 0.5000
Sm7 Sm 0.2712 0.3138 0.5424
Sm8 Sm 0.2143 0.6765 0.4286

***

How do the records compare in N(E_F)? In the order shown, they have 2.3, 5.4, 2.9, 4.0, 2.1, 1.7, 2.7, 4.6, 4.4, 2.6, 4.5, 11.0 states/eV/cell.
How do the records compare in formation energy from raw total energies? In the order shown, they have 5.852, 12.556, 7.880, 12.582, 17.627, 10.855, 3.930, 7.231, 7.953, 5.939, 8.328, -15.387 eV/f.u..